*A*
{
  "formula": "Si2GeAu2",
  "functional": "GGA-PBE",
  "state": "relaxed",
  "cell": [[3.862, 0.000, 0.000], [0.000, 3.862, 0.000], [1.931, 1.931, 6.217]],
  "species": ["Ge", "Au", "Au", "Si", "Si"],
  "frac_coords": [[0.000, 0.000, 0.000], [0.390, 0.390, 0.220], [0.610, 0.610, 0.780], [0.750, 0.250, 0.500], [0.250, 0.750, 0.500]],
  "dos_ef_per_ev_fu": 1.89,
  "m_tot_mub_per_fu": 0.0,
  "sg": "I4/mmm (139)"
}

***

*B*
{
  "formula": "Si2GeAu2",
  "functional": "GGA-PBE",
  "state": "relaxed",
  "cell": [[7.605, 0.000, 0.000], [0.000, 7.605, 0.000], [0.000, 0.000, 3.152]],
  "species": ["Ge", "Ge", "Au", "Au", "Au", "Au", "Si", "Si", "Si", "Si"],
  "frac_coords": [[0.000, 0.000, 0.000], [0.500, 0.500, 0.000], [0.133, 0.633, 0.500], [0.633, 0.867, 0.500], [0.867, 0.367, 0.500], [0.367, 0.133, 0.500], [0.325, 0.825, 0.000], [0.825, 0.675, 0.000], [0.675, 0.175, 0.000], [0.175, 0.325, 0.000]],
  "dos_ef_per_ev_fu": 3.20,
  "m_tot_mub_per_fu": 0.0,
  "sg": "P4/mbm (127)"
}

***

The most stable of them is *A*.

***

*A*
{
  "formula": "SmTmGeAu",
  "functional": "GGA-PBE",
  "state": "relaxed",
  "cell": [[-4.505, -0.498, -2.342], [-4.269, -0.462, 2.755], [-3.378, 3.821, 0.130]],
  "species": ["Ge", "Tm", "Au", "Sm"],
  "frac_coords": [[0.750, 0.750, 0.750], [0.500, 0.500, 0.500], [0.250, 0.250, 0.250], [0.000, 0.000, 0.000]],
  "dos_ef_per_ev_fu": 3.95,
  "m_tot_mub_per_fu": 0.5,
  "sg": "F-43m (216)"
}

***

*B*
{
  "formula": "SmTmGeAu",
  "functional": "GGA-PBE",
  "state": "relaxed",
  "cell": [[-1.439, 1.832, -3.332], [-1.803, -3.731, -1.273], [-3.889, 0.388, 4.373]],
  "species": ["Sm", "Tm", "Ge", "Au"],
  "frac_coords": [[0.858, 0.500, 0.716], [0.136, 0.000, 0.273], [0.587, 0.500, 0.175], [0.418, 0.000, 0.836]],
  "dos_ef_per_ev_fu": 2.29,
  "m_tot_mub_per_fu": 0.0,
  "sg": "Amm2 (38)"
}

***

The most stable of them is *B*.

***

*A*
{
  "formula": "SnGeAu4",
  "functional": "GGA-PBE",
  "state": "relaxed",
  "cell": [[-2.371, -5.388, -2.655], [3.859, 0.396, -4.250], [2.132, -4.506, 5.411]],
  "species": ["Sn", "Sn", "Ge", "Ge", "Au", "Au", "Au", "Au", "Au", "Au", "Au", "Au"],
  "frac_coords": [[0.709, 0.763, 0.525], [0.291, 0.237, 0.475], [0.221, 0.619, 0.237], [0.779, 0.381, 0.763], [0.111, 0.810, 0.620], [0.426, 0.153, 0.809], [0.000, 0.244, 0.000], [0.574, 0.343, 0.191], [0.889, 0.190, 0.380], [0.574, 0.847, 0.191], [0.000, 0.756, 0.000], [0.426, 0.657, 0.809]],
  "dos_ef_per_ev_fu": 2.17,
  "m_tot_mub_per_fu": 0.0,
  "sg": "C2/m (12)"
}

***

*B*
{
  "formula": "SnGeAu4",
  "functional": "GGA-PBE",
  "state": "relaxed",
  "cell": [[3.582, -0.003, -0.015], [-1.751, 5.661, -1.151], [-0.041, 0.127, 6.119]],
  "species": ["Sn", "Ge", "Au", "Au", "Au", "Au"],
  "frac_coords": [[0.500, 0.000, 0.500], [0.000, 0.000, 0.000], [0.834, 0.661, 0.634], [0.166, 0.339, 0.366], [0.345, 0.687, 0.083], [0.654, 0.313, 0.917]],
  "dos_ef_per_ev_fu": 1.99,
  "m_tot_mub_per_fu": 0.0,
  "sg": "P-1 (2)"
}

***

*C*
{
  "formula": "SnGeAu4",
  "functional": "GGA-PBE",
  "state": "relaxed",
  "cell": [[5.608, 0.000, 0.000], [2.804, 4.857, 0.000], [2.804, 1.619, 4.579]],
  "species": ["Ge", "Au", "Au", "Au", "Au", "Sn"],
  "frac_coords": [[0.250, 0.250, 0.250], [0.625, 0.625, 0.126], [0.625, 0.126, 0.625], [0.625, 0.625, 0.625], [0.126, 0.625, 0.625], [0.000, 0.000, 0.000]],
  "dos_ef_per_ev_fu": 1.70,
  "m_tot_mub_per_fu": 0.0,
  "sg": "F-43m (216)"
}

***

The most stable of them is *A*.

***

*A*
{
  "formula": "Sn3GeAu6",
  "functional": "GGA-PBE",
  "state": "relaxed",
  "cell": [[-5.311, 1.742, -2.320], [-4.282, -6.647, 4.809], [-0.688, 4.789, 6.006]],
  "species": ["Sn", "Sn", "Sn", "Sn", "Sn", "Sn", "Ge", "Ge", "Au", "Au", "Au", "Au", "Au", "Au", "Au", "Au", "Au", "Au", "Au", "Au"],
  "frac_coords": [[0.560, 0.910, 0.746], [0.500, 0.500, 0.000], [0.440, 0.090, 0.254], [0.060, 0.590, 0.246], [0.000, 0.000, 0.500], [0.940, 0.410, 0.754], [0.500, 0.500, 0.500], [0.000, 0.000, 0.000], [0.665, 0.198, 0.955], [0.632, 0.201, 0.581], [0.742, 0.360, 0.278], [0.258, 0.640, 0.722], [0.368, 0.799, 0.419], [0.335, 0.802, 0.045], [0.165, 0.302, 0.455], [0.132, 0.299, 0.081], [0.242, 0.140, 0.778], [0.758, 0.860, 0.222], [0.868, 0.701, 0.919], [0.835, 0.698, 0.545]],
  "dos_ef_per_ev_fu": 3.17,
  "m_tot_mub_per_fu": 0.0,
  "sg": "P2_1/c (14)"
}

***

*B*
{
  "formula": "Sn3GeAu6",
  "functional": "GGA-PBE",
  "state": "relaxed",
  "cell": [[-0.510, -5.504, 5.832], [0.628, -5.472, -5.109], [7.456, -0.896, -0.193]],
  "species": ["Sn", "Sn", "Sn", "Sn", "Sn", "Sn", "Ge", "Ge", "Au", "Au", "Au", "Au", "Au", "Au", "Au", "Au", "Au", "Au", "Au", "Au"],
  "frac_coords": [[0.482, 0.916, 0.719], [0.982, 0.719, 0.916], [0.366, 0.586, 0.414], [0.866, 0.414, 0.586], [0.982, 0.084, 0.281], [0.482, 0.281, 0.084], [0.106, 0.132, 0.868], [0.606, 0.868, 0.132], [0.169, 0.839, 0.589], [0.668, 0.589, 0.839], [0.205, 0.477, 0.781], [0.705, 0.781, 0.477], [0.289, 0.903, 0.097], [0.514, 0.296, 0.704], [0.014, 0.704, 0.296], [0.789, 0.097, 0.903], [0.205, 0.219, 0.523], [0.705, 0.523, 0.219], [0.169, 0.411, 0.161], [0.669, 0.161, 0.411]],
  "dos_ef_per_ev_fu": 2.77,
  "m_tot_mub_per_fu": 0.0,
  "sg": "Cmc2_1 (36)"
}

***

The most stable of them is *B*.

***

*A*
{
  "formula": "TlSnGe2Au",
  "functional": "GGA-PBE",
  "state": "relaxed",
  "cell": [[-5.008, 1.780, -0.702], [-1.331, -4.596, -2.157], [-1.346, -1.880, 4.837]],
  "species": ["Ge", "Ge", "Tl", "Au", "Sn"],
  "frac_coords": [[0.000, 0.000, 0.500], [0.500, 0.000, 0.000], [0.000, 0.000, 0.000], [0.000, 0.500, 0.000], [0.500, 0.500, 0.500]],
  "dos_ef_per_ev_fu": 3.77,
  "m_tot_mub_per_fu": 0.0,
  "sg": "P4/mmm (123)"
}

***

*B*
{
  "formula": "TlSnGe2Au",
  "functional": "GGA-PBE",
  "state": "relaxed",
  "cell": [[5.293, 0.000, 0.000], [0.000, 5.763, 0.000], [0.000, 0.000, 5.293]],
  "species": ["Ge", "Ge", "Tl", "Au", "Sn"],
  "frac_coords": [[0.000, 0.000, 0.500], [0.500, 0.000, 0.000], [0.000, 0.000, 0.000], [0.500, 0.500, 0.500], [0.000, 0.500, 0.000]],
  "dos_ef_per_ev_fu": 1.10,
  "m_tot_mub_per_fu": 0.0,
  "sg": "P4/mmm (123)"
}

***

The most stable of them is *A*.

***

*A*
{
  "formula": "SrGeAu3",
  "functional": "GGA-PBE",
  "state": "relaxed",
  "cell": [[5.079, 0.000, -2.808], [-2.360, 7.151, -4.268], [0.560, -0.870, 7.010]],
  "species": ["Sr", "Sr", "Ge", "Ge", "Au", "Au", "Au", "Au", "Au", "Au"],
  "frac_coords": [[0.250, 0.283, 0.500], [0.750, 0.717, 0.500], [0.000, 0.500, 0.000], [0.500, 0.000, 0.000], [0.755, 0.255, 0.010], [0.255, 0.255, 0.010], [0.745, 0.745, 0.990], [0.245, 0.745, 0.990], [0.250, 0.884, 0.500], [0.750, 0.116, 0.500]],
  "dos_ef_per_ev_fu": 1.37,
  "m_tot_mub_per_fu": 0.0,
  "sg": "Imma (74)"
}

***

*B*
{
  "formula": "SrGeAu3",
  "functional": "GGA-PBE",
  "state": "relaxed",
  "cell": [[5.087, 0.000, 0.000], [0.000, 7.046, 0.000], [0.000, 0.000, 7.089]],
  "species": ["Sr", "Sr", "Ge", "Ge", "Au", "Au", "Au", "Au", "Au", "Au"],
  "frac_coords": [[0.500, 0.000, 0.000], [0.500, 0.500, 0.500], [0.000, 0.500, 0.000], [0.000, 0.000, 0.500], [0.500, 0.500, 0.000], [0.500, 0.000, 0.500], [0.000, 0.715, 0.284], [0.000, 0.215, 0.216], [0.000, 0.285, 0.716], [0.000, 0.785, 0.784]],
  "dos_ef_per_ev_fu": 1.75,
  "m_tot_mub_per_fu": 0.0,
  "sg": "Pbam (55)"
}

***

The most stable of them is *A*.